Entry a
KYSi: optimized geometry, PBEsol.

It has space group F-43m (No. 216), with a = 7.1949 Å, b = 7.1949 Å, c = 7.1949 Å, α = 90.00°, β = 90.00° and γ = 90.00°. Symmetry generates all atoms from K at (0.0000, 0.0000, 0.0000), Y at (0.0000, 0.0000, 0.5000) and Si at (0.2500, 0.2500, 0.2500).

The crystal system is cubic. For the density of states at the Fermi level, the calculation gives 2.05 states/eV per cell.

=====

Entry b
KYSi: optimized geometry, PBEsol.

It has space group P3m1 (No. 156), with a = 4.6665 Å, b = 4.6665 Å, c = 5.7581 Å, α = 90.00°, β = 90.00° and γ = 120.00°. Symmetry generates all atoms from K at (0.0000, 0.0000, 0.0000), Y at (0.6667, 0.3333, 0.4883) and Si at (0.3333, 0.6667, 0.3660).

The crystal system is trigonal. For the density of states at the Fermi level, the calculation gives 1.38 states/eV per cell.

=====

Top of the stability list: entry a, leading by 0.016 eV/atom.

=====

Entry a
KZr3Sn: optimized geometry, PBEsol.

It has space group Pm-3m (No. 221), with a = 5.4305 Å, b = 5.4305 Å, c = 5.4305 Å, α = 90.00°, β = 90.00° and γ = 90.00°. Symmetry generates all atoms from K at (0.0000, 0.0000, 0.0000), Zr at (0.0000, 0.5000, 0.5000) and Sn at (0.5000, 0.5000, 0.5000).

The crystal system is cubic. For the density of states at the Fermi level, the calculation gives 12.59 states/eV per cell.

=====

Entry b
KZr3Sn: optimized geometry, PBEsol.

It has space group Pm-3m (No. 221), with a = 4.7871 Å, b = 4.7871 Å, c = 4.7871 Å, α = 90.00°, β = 90.00° and γ = 90.00°. Symmetry generates all atoms from K at (0.0000, 0.0000, 0.0000), Zr at (0.0000, 0.0000, 0.5000) and Sn at (0.5000, 0.5000, 0.5000).

The crystal system is cubic. For the density of states at the Fermi level, the calculation gives 7.13 states/eV per cell.

=====

Top of the stability list: entry a, leading by 0.570 eV/atom.

=====

Entry a
K4Sr: optimized geometry, PBEsol.

It has space group Im-3m (No. 229), with a = 9.6461 Å, b = 9.6461 Å, c = 9.6461 Å, α = 90.00°, β = 90.00° and γ = 90.00°. Symmetry generates all atoms from K at (0.2500, 0.2500, 0.2500) and Sr at (0.0000, 0.0000, 0.0000).

The crystal system is cubic. For the density of states at the Fermi level, the calculation gives 9.75 states/eV per cell.

=====

Entry b
K4Sr: optimized geometry, PBEsol.

It has space group I4/m (No. 87), with a = 10.2165 Å, b = 10.2165 Å, c = 6.3083 Å, α = 90.00°, β = 90.00° and γ = 90.00°. Symmetry generates all atoms from K at (0.1004, 0.2979, 0.0000) and Sr at (0.0000, 0.0000, 0.5000).

The crystal system is tetragonal. For the density of states at the Fermi level, the calculation gives 9.28 states/eV per cell.

=====

Top of the stability list: entry b, leading by 0.206 eV/atom.

=====

Entry a
K5Sr: optimized geometry, PBEsol.

It has space group Cm (No. 8), with a = 16.9356 Å, b = 4.4147 Å, c = 10.9592 Å, α = 90.00°, β = 104.53° and γ = 90.00°. Symmetry generates all atoms from K at (0.0000, 0.0000, 0.0000), K at (0.0609, 0.0000, 0.6116), K at (0.1683, 0.5000, 0.3255), K at (0.2322, 0.5000, 0.9550), K at (0.3362, 0.0000, 0.6574) and Sr at (0.3953, 0.0000, 0.2833).

The crystal system is monoclinic. For the density of states at the Fermi level, the calculation gives 10.61 states/eV per cell.

=====

Entry b
K5Sr: optimized geometry, PBEsol.

It has space group Cmmm (No. 65), with a = 6.3931 Å, b = 19.5881 Å, c = 6.3651 Å, α = 90.00°, β = 90.00° and γ = 90.00°. Symmetry generates all atoms from K at (0.0000, 0.0000, 0.0000), K at (0.0000, 0.1648, 0.5000), K at (0.0000, 0.3361, 0.0000) and Sr at (0.0000, 0.5000, 0.5000).

The crystal system is orthorhombic. For the density of states at the Fermi level, the calculation gives 10.78 states/eV per cell.

=====

Top of the stability list: entry a, leading by 0.015 eV/atom.